This record from Alexandria via LeMat-Bulk describes a geometry-optimized NiAuSe structure. The functional is PBE-GGA.

Output
Formation energy from raw total energies in meV per atom: 125
Total energy in eV/atom: -4.056
Energy above the lowest structure with this stoichiometry in eV/atom: 0.1214
M_tot in μB per formula unit: 0.00
Symmetry: Imm2, No. 44

Unit cell a=5.1370 b=5.1370 c=5.1370 alpha=141.95 beta=142.11 gamma=54.78
With the nearest neighbours (Å) after each atom.
Sites, in units of the cell vectors:
Se: 0.7156 0.7156 0.0000  4 Ni 2.46, 1 Au 2.56
Au: 0.9958 0.9958 0.0000  1 Se 2.56, 1 Ni 2.67
Ni: 0.2886 0.2886 0.0000  4 Se 2.46, 1 Au 2.67


This record from Alexandria via LeMat-Bulk describes a geometry-optimized NiAu2Se structure. The functional is PBE-GGA.

Output
Formation energy from raw total energies in meV per atom: 315
Total energy in eV/atom: -3.640
M_tot in μB per formula unit: 0.32
Symmetry: I-4m2, No. 119

Unit cell a=4.9559 b=4.9559 c=4.9559 alpha=130.97 beta=130.97 gamma=71.86
With the nearest neighbours (Å) after each atom.
Sites, in units of the cell vectors:
Se: 0.7500 0.2500 0.5000  8 Au 2.87-2.91, 4 Ni 2.87
Au: 0.0000 0.0000 0.0000  4 Se 2.87, 4 Au 2.87, 4 Ni 2.91
Au: 0.2500 0.7500 0.5000  4 Ni 2.87, 4 Au 2.87, 4 Se 2.91
Ni: 0.5000 0.5000 0.0000  8 Au 2.87-2.91, 4 Se 2.87


This record from Alexandria via LeMat-Bulk describes a geometry-optimized Ni2Au2Se structure. The functional is PBE-GGA.

Output
Formation energy from raw total energies in meV per atom: 122
Total energy in eV/atom: -4.199
M_tot in μB per formula unit: 0.00
Symmetry: P4/mbm, No. 127

Unit cell a=6.2007 b=6.2007 c=4.0938 alpha=90.00 beta=90.00 gamma=90.00
With the nearest neighbours (Å) after each atom.
Sites, in units of the cell vectors:
Au: 0.6578 0.8422 0.5000  6 Ni 2.67-2.79, 1 Au 2.77
Au: 0.1578 0.6578 0.5000  6 Ni 2.67-2.79, 1 Au 2.77
Au: 0.3422 0.1578 0.5000  6 Ni 2.67-2.79, 1 Au 2.77
Au: 0.8422 0.3422 0.5000  6 Ni 2.67-2.79, 1 Au 2.77
Se: 0.5000 0.5000 0.0000  4 Ni 2.37
Se: 0.0000 0.0000 0.0000  4 Ni 2.37
Ni: 0.1466 0.3534 0.0000  2 Se 2.37, 1 Ni 2.57
Ni: 0.8534 0.6466 0.0000  2 Se 2.37, 1 Ni 2.57
Ni: 0.3534 0.8534 0.0000  2 Se 2.37, 1 Ni 2.57
Ni: 0.6466 0.1466 0.0000  2 Se 2.37, 1 Ni 2.57


This record from Alexandria via LeMat-Bulk describes a geometry-optimized Ni2AuSe2 structure. The functional is PBE-GGA.

Output
Formation energy from raw total energies in meV per atom: 270
Total energy in eV/atom: -4.092
M_tot in μB per formula unit: 0.00
Symmetry: I4/mmm, No. 139

Unit cell a=5.8816 b=5.8816 c=5.8816 alpha=139.49 beta=139.49 gamma=58.63
With the nearest neighbours (Å) after each atom.
Sites, in units of the cell vectors:
Au: 0.0000 0.0000 0.0000  8 Ni 3.13, 8 Se 3.27
Se: 0.7500 0.2500 0.5000  4 Ni 2.43
Se: 0.2500 0.7500 0.5000  4 Ni 2.43
Ni: 0.3798 0.3798 0.0000  4 Se 2.43, 1 Ni 2.47
Ni: 0.6202 0.6202 0.0000  4 Se 2.43, 1 Ni 2.47


This record from Alexandria via LeMat-Bulk describes a geometry-optimized NiAuSe2 structure. The functional is PBE-GGA.

Output
Formation energy from raw total energies in meV per atom: 415
Total energy in eV/atom: -3.592
M_tot in μB per formula unit: 0.00
Symmetry: I4/mcm, No. 140

Unit cell a=6.5080 b=6.5080 c=5.6843 alpha=55.08 beta=55.08 gamma=90.00
With the nearest neighbours (Å) after each atom.
Sites, in units of the cell vectors:
Se: 0.7293 0.7707 0.0000  4 Au 2.69-3.00, 4 Ni 2.85
Se: 0.7707 0.2707 0.0000  4 Au 2.69-3.00, 4 Ni 2.85
Se: 0.2707 0.2293 0.0000  4 Au 2.69-3.00, 4 Ni 2.85
Se: 0.2293 0.7293 0.0000  4 Au 2.69-3.00, 4 Ni 2.85
Ni: 0.7500 0.7500 0.5000  8 Se 2.85
Ni: 0.2500 0.2500 0.5000  8 Se 2.85
Au: 0.2500 0.7500 0.5000  8 Se 2.69-3.00
Au: 0.7500 0.2500 0.5000  8 Se 2.69-3.00


This record from Alexandria via LeMat-Bulk describes a geometry-optimized NiAuSe2 structure. The functional is PBE-GGA.

Output
Formation energy from raw total energies in meV per atom: 168
Total energy in eV/atom: -3.839
M_tot in μB per formula unit: 0.10
Symmetry: C2/m, No. 12

Unit cell a=4.6033 b=4.6033 c=4.6095 alpha=68.79 beta=68.79 gamma=106.15
With the nearest neighbours (Å) after each atom.
Sites, in units of the cell vectors:
Ni: 0.0000 0.5000 0.5000  4 Se 2.60, 2 Au 2.77
Se: 0.0000 0.0000 0.0000  2 Au 2.60, 2 Ni 2.60, 2 Se 2.77
Se: 0.5000 0.5000 0.0000  2 Ni 2.60, 2 Au 2.60, 2 Se 2.77
Au: 0.5000 0.0000 0.5000  4 Se 2.60, 2 Ni 2.77